This record from the Alexandria database describes KIr2Pb after structural relaxation. The functional is PBE.

Unit cell a=4.317 b=4.317 c=4.270 alpha=90.00 beta=90.00 gamma=90.00
Sites, in units of the cell vectors:
K 0.000 0.000 0.000
Ir 0.000 0.500 0.500
Ir 0.500 0.000 0.500
Pb 0.500 0.500 0.000

crystal system = tetragonal
space-group type = P4/mmm, No. 123
total magnetization = 0.00 μB per formula unit
energy relative to the elements = 0.9431 eV/atom